Record 1
Below is an optimized crystal structure of BaZrW4, with properties calculated at the PBE-GGA level.

Structure (POSCAR):
```
BaZrW4
1.0
-2.375 -5.006 -0.553
-4.408 -0.637 -3.343
0.513 -2.813 -4.778
Zr W Ba
1 4 1
Direct
0.750 0.750 0.750
0.375 0.875 0.375
0.375 0.375 0.875
0.875 0.375 0.375
0.375 0.375 0.375
0.000 0.000 0.000
```

Crystal system: cubic


Record 2
Below is an optimized crystal structure of BaZrW2, with properties calculated at the PBE-GGA level.

Structure (POSCAR):
```
BaZrW2
1.0
-0.295 4.206 -3.110
-2.794 4.345 -0.876
3.772 3.970 3.972
Zr W Ba
1 2 1
Direct
0.750 0.750 0.750
0.491 0.491 0.617
0.009 0.009 0.883
0.250 0.250 0.250
```

Distance to the lowest polymorph of the same formula in meV per atom: 306
Crystal system: monoclinic


Record 3
Below is an optimized crystal structure of Ba2ZrW, with properties calculated at the PBE-GGA level.

Structure (POSCAR):
```
Ba2ZrW
1.0
6.514 0.003 0.000
3.437 5.533 0.000
-4.976 -2.768 3.164
W Ba Zr
1 2 1
Direct
0.250 0.750 0.500
0.500 0.500 0.000
0.000 0.000 0.000
0.750 0.250 0.500
```

Distance to the lowest polymorph of the same formula in meV per atom: 635
Crystal system: tetragonal


Record 4
Below is an optimized crystal structure of Ba2ZrW, with properties calculated at the PBE-GGA level.

Structure (POSCAR):
```
Ba2ZrW
1.0
-4.149 -1.123 3.360
-2.135 3.941 3.111
-4.987 1.931 -1.083
Zr W Ba
1 1 2
Direct
0.000 0.000 0.000
0.500 0.500 0.500
0.750 0.750 0.750
0.250 0.250 0.250
```

Distance to the lowest polymorph of the same formula in meV per atom: 909
Crystal system: cubic


Record 5
Below is an optimized crystal structure of BaZrW2, with properties calculated at the PBE-GGA level.

Structure (POSCAR):
```
BaZrW2
1.0
5.630 0.001 0.003
-2.580 5.379 -0.012
0.471 0.787 2.791
Ba W Zr
1 2 1
Direct
0.500 0.500 0.000
0.000 0.000 0.000
0.500 0.000 0.500
0.000 0.500 0.500
```

Distance to the lowest polymorph of the same formula in meV per atom: 701
Crystal system: monoclinic


Record 6
Below is an optimized crystal structure of BaZrW2, with properties calculated at the PBE-GGA level.

Structure (POSCAR):
```
BaZrW2
1.0
10.640 0.023 0.013
10.151 3.188 0.013
10.151 1.568 2.776
W Ba Zr
2 1 1
Direct
0.256 0.256 0.256
0.982 0.982 0.982
0.744 0.744 0.744
0.517 0.517 0.517
```

Distance to the lowest polymorph of the same formula in meV per atom: 288
Crystal system: trigonal


Record 7
Below is an optimized crystal structure of BaZrW2, with properties calculated at the PBE-GGA level.

Structure (POSCAR):
```
BaZrW2
1.0
0.000 3.521 3.521
3.521 0.000 3.521
3.521 3.521 0.000
Ba Zr W
1 1 2
Direct
0.500 0.500 0.500
0.000 0.000 0.000
0.750 0.750 0.750
0.250 0.250 0.250
```

Distance to the lowest polymorph of the same formula in meV per atom: 863
Crystal system: cubic


Record 8
Below is an optimized crystal structure of BaZrW2, with properties calculated at the PBE-GGA level.

Structure (POSCAR):
```
BaZrW2
1.0
3.032 0.026 0.000
-1.145 2.807 0.000
0.000 0.000 10.673
W Ba Zr
2 1 1
Direct
0.500 0.500 0.232
0.000 0.000 0.049
0.500 0.500 0.774
0.000 0.000 0.446
```

Distance to the lowest polymorph of the same formula in meV per atom: 179
Crystal system: orthorhombic


| no. | E_form (eV per atom) | density (g cm⁻³) | E (eV for the cell shown) |
| --- | --- | --- | --- |
| 1 | 0.687 | 13.108 | -58.16 |
| 2 | 0.872 | 8.829 | -32.89 |
| 3 | 1.258 | 8.007 | -20.32 |
| 4 | 1.531 | 7.949 | -19.22 |
| 5 | 1.267 | 11.707 | -31.31 |
| 6 | 0.854 | 10.639 | -32.96 |
| 7 | 1.430 | 11.337 | -30.66 |
| 8 | 0.745 | 10.863 | -33.40 |